Here is crystalline Cu7As at its relaxed geometry from Alexandria via LeMat-Bulk. Energies are from PBE-GGA.

Cell and atoms, written as POSCAR:
```
Cu7As
1.0
0.000 3.695 3.695
3.695 0.000 3.695
3.695 3.695 0.000
Cu As
7 1
direct
0.000 0.000 0.000
0.000 0.000 0.500
0.000 0.500 0.000
0.000 0.500 0.500
0.500 0.000 0.000
0.500 0.000 0.500
0.500 0.500 0.000
0.500 0.500 0.500
```

Properties
- crystal system = cubic
- space group = Fm-3m (225)
- distance to the lowest polymorph of the same formula (meV per atom) = 7
- magnetization (μB per atom) = 0.000
- energy relative to the elements (eV/atom) = 0.0601
- density (Mg/m³) = 8.55